Compound: HgCSe3
Source: Alexandria via LeMat-Bulk
Functional: PBE
Structure: optimized geometry

The structure belongs to space group Pm-3m (No. 221); the cell edges are 4.536, 4.536 and 4.536 Å and the angles 90.00°, 90.00° and 90.00°. The asymmetric unit holds Hg at (0.000, 0.000, 0.000), C at (0.500, 0.500, 0.500) and Se at (0.000, 0.500, 0.500).

The energy above the lowest structure with this stoichiometry comes out at 0.000 eV per atom. As for the energy relative to the elements, uncorrected: 1.061 eV/atom.

=====

Compound: UCoSi
Source: Alexandria via LeMat-Bulk
Functional: PBE
Structure: optimized geometry

The structure belongs to space group Pmma (No. 51); the cell edges are 4.771, 3.893 and 5.454 Å and the angles 90.00°, 90.00° and 90.00°. The asymmetric unit holds U at (0.250, 0.000, 0.171), Co at (0.250, 0.500, 0.866) and Si at (0.000, 0.500, 0.500).

As for the energy relative to the elements, uncorrected: -0.063 eV/atom.

=====

Compound: CaGaH3
Source: Alexandria via LeMat-Bulk
Functional: PBE
Structure: optimized geometry

The structure belongs to space group Immm (No. 71); the cell edges are 3.820, 5.880 and 10.905 Å and the angles 90.00°, 90.00° and 90.00°. The asymmetric unit holds Ca at (0.000, 0.000, 0.175), Ga at (0.000, 0.214, 0.500), H at (0.000, 0.226, 0.000) and H at (0.000, 0.280, 0.326).

The energy above the lowest structure with this stoichiometry comes out at 0.000 eV per atom.

=====

Compound: Pr4PuS7
Source: Alexandria via LeMat-Bulk
Functional: PBE
Structure: optimized geometry

The structure belongs to space group Cm (No. 8); the cell edges are 13.387, 3.993 and 11.958 Å and the angles 90.00°, 105.16° and 90.00°. The asymmetric unit holds Pr at (0.000, 0.000, 0.000), Pr at (0.083, 0.500, 0.380), Pr at (0.190, 0.000, 0.768), Pr at (0.386, 0.500, 0.572), Pu at (0.271, 0.500, 0.151), S at (0.046, 0.500, 0.624), S at (0.125, 0.500, 0.927), S at (0.154, 0.000, 0.223), S at (0.226, 0.000, 0.523), S at (0.345, 0.500, 0.790), S at (0.381, 0.000, 0.075) and S at (0.427, 0.500, 0.354).

As for the energy relative to the elements, uncorrected: -1.965 eV/atom.

=====

Compound: Pa2TlPb9
Source: Alexandria via LeMat-Bulk
Functional: PBE
Structure: optimized geometry

The structure belongs to space group P4/mmm (No. 123); the cell edges are 4.792, 4.792 and 15.254 Å and the angles 90.00°, 90.00° and 90.00°. The asymmetric unit holds Pa at (0.000, 0.000, 0.152), Tl at (0.000, 0.000, 0.500), Pb at (0.000, 0.500, 0.000), Pb at (0.000, 0.500, 0.325), Pb at (0.500, 0.500, 0.164) and Pb at (0.500, 0.500, 0.500).

The formation energy comes out at 0.0287 eV/atom.

=====

Compound: CeNd2Cu2Ge2
Source: Alexandria via LeMat-Bulk
Functional: PBE
Structure: optimized geometry

The structure belongs to space group R-3m (No. 166, hexagonal axes); the cell edges are 4.3083, 4.3083 and 30.1898 Å and the angles 90.00°, 90.00° and 120.00°. The asymmetric unit holds Ce at (0.0000, 0.0000, 0.0000), Nd at (0.0000, 0.0000, 0.1238), Cu at (0.0000, 0.0000, 0.3955) and Ge at (0.0000, 0.0000, 0.2702).

The formation energy comes out at -0.4606 eV/atom.